# 1
Compound: BaMoPb2
Source: Alexandria via LeMat-Bulk
Functional: PBE
Structure: relaxed

Properties
The energy above the lowest structure with this stoichiometry comes out at 0.0 meV per atom. For the energy of formation from the pure elements, the calculation gives 24 kJ per mole of atoms. As for the density of states at the Fermi level: 0.60 states/eV per atom. The total magnetization comes out at 0.000 μB/cell. For the mass density, the calculation gives 9.9 g/cm3.

Cell lengths 3.6192, 3.6192, 8.3100 Å; angles 90.00, 90.00, 90.00 degrees
Closest atoms and distances in Å follow each position.
Space group P4/mmm (No. 123)
Symmetry-distinct sites (fractional):
1 Ba 0.0000 0.0000 0.0000 x1  4 Ba 3.62, 8 Pb 3.62
2 Mo 0.0000 0.0000 0.5000 x1  8 Pb 3.01
3 Pb 0.5000 0.5000 0.3087 x2  4 Mo 3.01, 1 Pb 3.18


# 2
Compound: RbAc2SbO5
Source: Alexandria via LeMat-Bulk
Functional: PBE
Structure: relaxed

Properties
As for the uncorrected formation energy: -2.2792 eV/atom. As for the density of states at the Fermi level: 0.10 states/eV per atom. The total magnetization comes out at 0.000 μB/cell. For the mass density, the calculation gives 7.2 g/cm3.

Cell lengths 7.2923, 7.2923, 6.4503 Å; angles 90.00, 90.00, 90.00 degrees
Closest atoms and distances in Å follow each position.
Space group P4/mbm (No. 127)
Symmetry-distinct sites (fractional):
1 Rb 0.0000 0.0000 0.0000 x2  10 O 3.23-3.28
2 Ac 0.1802 0.3198 0.5000 x4  4 O 2.46-2.68
3 Sb 0.0000 0.5000 0.0000 x2  4 O 2.17
4 O 0.0000 0.0000 0.5000 x2  4 Ac 2.68
5 O 0.1364 0.6364 0.2558 x8  1 Sb 2.17


# 3
Compound: NaMgSN2
Source: Alexandria via LeMat-Bulk
Functional: PBE
Structure: relaxed

Properties
The energy above the lowest structure with this stoichiometry comes out at 0.0 meV per atom. As for the uncorrected formation energy: 0.8677 eV/atom. As for the density of states at the Fermi level: 0.31 states/eV per atom. The total magnetization comes out at 5.050 μB/cell. For the mass density, the calculation gives 1.9 g/cm3.

Cell lengths 4.2727, 4.2727, 5.0647 Å; angles 90.00, 90.00, 90.00 degrees
Closest atoms and distances in Å follow each position.
Space group P4/mmm (No. 123)
Symmetry-distinct sites (fractional):
1 Na 0.0000 0.0000 0.0000 x1  4 S 3.02, 8 N 3.31
2 Mg 0.5000 0.5000 0.5000 x1  4 N 2.14
3 S 0.5000 0.5000 0.0000 x1  2 Mg 2.53
4 N 0.0000 0.5000 0.5000 x2  2 Mg 2.14


# 4
Compound: LiCa4Au5
Source: Alexandria via LeMat-Bulk
Functional: PBE
Structure: relaxed

Properties
For the energy of formation from the pure elements, the calculation gives -71 kJ per mole of atoms. As for the density of states at the Fermi level: 0.66 states/eV per atom. The total magnetization comes out at 0.000 μB/cell. For the mass density, the calculation gives 8.5 g/cm3.

Cell lengths 3.5784, 3.5784, 17.6332 Å; angles 90.00, 90.00, 90.00 degrees
Closest atoms and distances in Å follow each position.
Space group P4/mmm (No. 123)
Symmetry-distinct sites (fractional):
1 Li 0.0000 0.0000 0.0000 x1  8 Au 2.90, 2 Ca 3.24
2 Ca 0.0000 0.0000 0.1835 x2  8 Au 3.11-3.14, 1 Li 3.24
3 Ca 0.0000 0.0000 0.3947 x2  8 Au 3.14
4 Au 0.5000 0.5000 0.0805 x2  1 Au 2.84, 4 Li 2.90, 4 Ca 3.11
5 Au 0.5000 0.5000 0.2892 x2  8 Ca 3.14
6 Au 0.5000 0.5000 0.5000 x1  8 Ca 3.14


# 5
Compound: CsEr3Ag2Te6
Source: Alexandria via LeMat-Bulk
Functional: PBE
Structure: relaxed

Properties
As for the uncorrected formation energy: -1.0328 eV/atom. The total magnetization comes out at 0.000 μB/cell. For the mass density, the calculation gives 6.3 g/cm3.

Cell lengths 21.4677, 4.4657, 9.5092 Å; angles 90.00, 110.88, 90.00 degrees
Closest atoms and distances in Å follow each position.
Space group C2/m (No. 12)
Symmetry-distinct sites (fractional):
1 Cs 0.0000 0.0000 0.0000 x2  6 Te 3.61-3.64
2 Er 0.0000 0.0000 0.5000 x2  6 Te 3.00-3.25
3 Er 0.1727 0.5000 0.8358 x4  6 Te 3.01-3.22, 1 Ag 3.29
4 Ag 0.2429 0.0000 0.3925 x4  4 Te 2.94-3.00, 2 Ag 2.97, 1 Er 3.29
5 Te 0.0223 0.5000 0.7240 x4  3 Er 3.00-3.02
6 Te 0.1606 0.0000 0.5835 x4  3 Ag 2.95-3.00, 3 Er 3.22-3.25
7 Te 0.1777 0.0000 0.0627 x4  1 Ag 2.94, 3 Er 3.01-3.08


# 6
Compound: Tb6GeTe3P2
Source: Alexandria via LeMat-Bulk
Functional: PBE
Structure: relaxed

Properties
As for the uncorrected formation energy: -1.4463 eV/atom. As for the density of states at the Fermi level: 0.34 states/eV per atom. The total magnetization comes out at 0.000 μB/cell. For the mass density, the calculation gives 7.6 g/cm3.

Cell lengths 18.6199, 4.1771, 8.5773 Å; angles 90.00, 105.44, 90.00 degrees
Closest atoms and distances in Å follow each position.
Space group C2/m (No. 12)
Symmetry-distinct sites (fractional):
1 Tb 0.0084 0.0000 0.2344 x4  1 P 2.86, 2 Ge 2.87, 3 Te 3.12-3.16
2 Tb 0.1602 0.5000 0.1061 x4  2 P 2.85, 1 Ge 2.88, 3 Te 3.13-3.17
3 Tb 0.1755 0.5000 0.5629 x4  3 P 2.82-2.84, 2 Te 3.15
4 Ge 0.0000 0.5000 0.0000 x2  6 Tb 2.87-2.88
5 Te 0.0000 0.5000 0.5000 x2  6 Tb 3.12-3.17
6 Te 0.1667 0.0000 0.8327 x4  6 Tb 3.13-3.17
7 P 0.1675 0.0000 0.3354 x4  6 Tb 2.82-2.86


# 7
Compound: LiLa2ErSe5
Source: Alexandria via LeMat-Bulk
Functional: PBE
Structure: relaxed

Properties
As for the uncorrected formation energy: -1.8519 eV/atom. The total magnetization comes out at 0.000 μB/cell. For the mass density, the calculation gives 6.2 g/cm3.

Cell lengths 4.1975, 17.3870, 12.5252 Å; angles 90.00, 90.00, 90.00 degrees
Closest atoms and distances in Å follow each position.
Space group Cmc2_1 (No. 36)
Symmetry-distinct sites (fractional):
1 Li 0.0000 0.0169 0.0000 x4  4 Se 2.44-2.72
2 La 0.0000 0.3740 0.8203 x4  8 Se 3.03-3.27
3 La 0.0000 0.3924 0.2064 x4  8 Se 3.07-3.28
4 Er 0.0000 0.3024 0.5252 x4  6 Se 2.72-2.88
5 Se 0.0000 0.0007 0.3032 x4  1 Li 2.48
6 Se 0.0000 0.1387 0.5199 x4  1 Li 2.72, 1 Er 2.85
7 Se 0.0000 0.1921 0.8702 x4  2 Er 2.86
8 Se 0.0000 0.2140 0.1808 x4  2 Er 2.88, 3 La 3.12-3.13
9 Se 0.0000 0.4522 0.5893 x4  2 Li 2.44, 1 Er 2.72


# 8
Compound: SmGeIr2
Source: Alexandria via LeMat-Bulk
Functional: PBE
Structure: relaxed

Properties
For the energy of formation from the pure elements, the calculation gives -49 kJ per mole of atoms. As for the density of states at the Fermi level: 0.88 states/eV per atom. The total magnetization comes out at 0.000 μB/cell. For the mass density, the calculation gives 12.9 g/cm3.

Cell lengths 4.0140, 4.0140, 9.7163 Å; angles 90.00, 90.00, 90.00 degrees
Closest atoms and distances in Å follow each position.
Space group P4/nmm (No. 129, origin choice 2)
Symmetry-distinct sites (fractional):
1 Sm 0.2500 0.2500 0.2034 x2  5 Ir 2.96-3.01, 4 Ge 3.18
2 Ge 0.2500 0.2500 0.6501 x2  5 Ir 2.42-2.48
3 Ir 0.2500 0.2500 0.8990 x2  1 Ge 2.42
4 Ir 0.2500 0.7500 0.5000 x2  4 Ge 2.48


# 9
Compound: AcCe2Pu
Source: Alexandria via LeMat-Bulk
Functional: PBE
Structure: relaxed

Properties
The energy above the lowest structure with this stoichiometry comes out at 121.9 meV per atom. For the energy of formation from the pure elements, the calculation gives 28 kJ per mole of atoms. As for the density of states at the Fermi level: 2.58 states/eV per atom. The total magnetization comes out at 37.384 μB/cell. For the mass density, the calculation gives 9.8 g/cm3.

Cell lengths 7.9824, 7.9824, 7.9824 Å; angles 90.00, 90.00, 90.00 degrees
Closest atoms and distances in Å follow each position.
Space group Fm-3m (No. 225)
Symmetry-distinct sites (fractional):
1 Ac 0.0000 0.0000 0.0000 x4  8 Ce 3.46
2 Ce 0.2500 0.2500 0.2500 x8  4 Ac 3.46, 4 Pu 3.46
3 Pu 0.0000 0.0000 0.5000 x4  8 Ce 3.46


# 10
Compound: TaPd7Pt4
Source: Alexandria via LeMat-Bulk
Functional: PBE
Structure: relaxed

Properties
For the energy of formation from the pure elements, the calculation gives -25 kJ per mole of atoms. As for the density of states at the Fermi level: 1.30 states/eV per atom. The total magnetization comes out at 0.000 μB/cell. For the mass density, the calculation gives 15.2 g/cm3.

Cell lengths 4.8564, 5.5961, 7.4095 Å; angles 68.06, 89.56, 89.73 degrees
Closest atoms and distances in Å follow each position.
Space group P-1 (No. 2)
Symmetry-distinct sites (fractional):
1 Ta 0.0000 0.0000 0.0000 x1  4 Pt 2.73-2.77, 8 Pd 2.78-2.81
2 Pd 0.0000 0.5000 0.0000 x1  2 Pt 2.78, 8 Pd 2.79-2.81, 2 Ta 2.80
3 Pd 0.1673 0.0848 0.3287 x2  6 Pd 2.77-2.85, 5 Pt 2.77-2.88, 1 Ta 2.78
4 Pd 0.3353 0.6667 0.6654 x2  6 Pt 2.79-2.85, 6 Pd 2.80-2.83
5 Pd 0.4982 0.7517 0.9994 x2  3 Pt 2.76-2.77, 7 Pd 2.77-2.82, 2 Ta 2.79-2.81
6 Pt 0.1641 0.5899 0.3280 x2  4 Pt 2.75-2.89, 1 Ta 2.77, 7 Pd 2.77-2.82
7 Pt 0.3281 0.1642 0.6755 x2  1 Ta 2.73, 3 Pt 2.75-2.89, 8 Pd 2.76-2.88


# 11
Compound: Li2InSi
Source: Alexandria via LeMat-Bulk
Functional: PBE
Structure: relaxed

Properties
As for the uncorrected formation energy: -0.0526 eV/atom. As for the density of states at the Fermi level: 0.58 states/eV per atom. The total magnetization comes out at 0.000 μB/cell. For the mass density, the calculation gives 3.6 g/cm3.

Cell lengths 6.6326, 6.6326, 6.6326 Å; angles 90.00, 90.00, 90.00 degrees
Closest atoms and distances in Å follow each position.
Space group F-43m (No. 216)
Symmetry-distinct sites (fractional):
1 Li 0.0000 0.0000 0.0000 x4  4 In 2.87, 4 Li 2.87
2 Li 0.2500 0.2500 0.2500 x4  4 Li 2.87, 4 Si 2.87
3 In 0.2500 0.2500 0.7500 x4  4 Li 2.87, 4 Si 2.87
4 Si 0.0000 0.0000 0.5000 x4  4 In 2.87, 4 Li 2.87